Computed, not measured: Ho2CdPd3 after structural relaxation at the PBE-GGA level of DFT.

Summary:
ΔE_f (eV per atom): -0.800
SG: P-3m1, No. 164
E (eV per atom): -5.074

abc: 4.849 4.849 11.799
angles: 90.00 90.00 120.00
Fractional positions:
Ho1 0.000 0.000 0.000
Ho2 0.000 0.000 0.500
Ho3 0.333 0.667 0.180
Ho4 0.667 0.333 0.820
Cd1 0.333 0.667 0.667
Cd2 0.667 0.333 0.333
Pd1 0.000 0.000 0.248
Pd2 0.000 0.000 0.752
Pd3 0.333 0.667 0.424
Pd4 0.333 0.667 0.921
Pd5 0.667 0.333 0.079
Pd6 0.667 0.333 0.576